Model one:
Below is a relaxed FeNi2Cl crystal, with properties calculated at the PBE level.

abc: 7.352 7.352 7.352
angles: 23.24 23.24 23.24
Atoms (fractional coordinates):
Fe 0.000 0.000 0.000
Ni 0.254 0.254 0.254
Ni 0.746 0.746 0.746
Cl 0.500 0.500 0.500

Calculated values
The calculated volume is 13.58 Å³/atom.



Model two:
Below is a relaxed FeNi2Cl crystal, with properties calculated at the PBE level.

abc: 4.188 2.777 4.846
angles: 90.00 111.58 90.00
Atoms (fractional coordinates):
Fe 0.000 0.000 0.000
Ni 0.000 0.000 0.500
Ni 0.500 0.500 0.500
Cl 0.500 0.500 0.000

Calculated values
The calculated volume is 13.11 Å³/atom.



Model three:
Below is a relaxed FeNi2Cl crystal, with properties calculated at the PBE level.

abc: 4.471 4.471 2.751
angles: 90.00 90.00 111.26
Atoms (fractional coordinates):
Fe 0.000 0.000 0.000
Ni 0.000 0.500 0.500
Ni 0.500 0.000 0.500
Cl 0.500 0.500 0.000

Calculated values
The calculated volume is 12.81 Å³/atom.



Name the least stable of them. model three.



Model one:
Below is a relaxed FeNi2Cl crystal, with properties calculated at the PBE level.

abc: 5.021 5.021 2.773
angles: 105.52 105.52 119.05
Atoms (fractional coordinates):
Fe 0.000 0.000 0.000
Ni 0.000 0.500 0.500
Ni 0.500 0.000 0.500
Cl 0.500 0.500 0.000

Calculated values
The calculated volume is 12.97 Å³/atom.



Model two:
Below is a relaxed FeNi2Cl crystal, with properties calculated at the PBE level.

abc: 4.806 4.806 4.806
angles: 136.45 136.45 63.29
Atoms (fractional coordinates):
Fe 0.000 0.000 0.000
Ni 0.250 0.750 0.500
Ni 0.500 0.500 0.000
Cl 0.750 0.250 0.500

Calculated values
The calculated volume is 13.00 Å³/atom.



Model three:
Below is a relaxed FeNi2Cl crystal, with properties calculated at the PBE level.

abc: 6.231 6.231 6.231
angles: 153.80 145.76 43.62
Atoms (fractional coordinates):
Fe 0.000 0.000 0.000
Ni 0.188 0.688 0.500
Ni 0.566 0.566 0.000
Cl 0.829 0.329 0.500

Calculated values
The calculated volume is 14.98 Å³/atom.



Model four:
Below is a relaxed FeNi2Cl crystal, with properties calculated at the PBE level.

abc: 5.246 5.246 5.246
angles: 103.03 103.03 123.30
Atoms (fractional coordinates):
Fe 0.000 0.000 0.000
Fe 0.750 0.250 0.500
Ni 0.140 0.625 0.015
Ni 0.375 0.390 0.515
Ni 0.610 0.125 0.985
Ni 0.875 0.860 0.485
Cl 0.250 0.750 0.500
Cl 0.500 0.500 0.000

Calculated values
The calculated volume is 13.27 Å³/atom.



Name the least stable of them. model two.



Model one:
Below is a relaxed FeNi2Cl crystal, with properties calculated at the PBE level.

abc: 2.825 4.209 4.335
angles: 90.00 90.00 90.00
Atoms (fractional coordinates):
Fe 0.000 0.000 0.000
Ni 0.000 0.500 0.500
Ni 0.500 0.500 0.000
Cl 0.500 0.000 0.500

Calculated values
The calculated volume is 12.89 Å³/atom.



Model two:
Below is a relaxed FeNi2Cl crystal, with properties calculated at the PBE level.

abc: 4.207 4.207 4.207
angles: 60.00 60.00 60.00
Atoms (fractional coordinates):
Fe 0.000 0.000 0.000
Ni 0.250 0.250 0.250
Ni 0.750 0.750 0.750
Cl 0.500 0.500 0.500

Calculated values
The calculated volume is 13.16 Å³/atom.



Name the least stable of them. model two.



Model one:
Below is a relaxed FeNi2Cl crystal, with properties calculated at the PBE level.

abc: 4.056 4.056 7.026
angles: 113.88 113.88 42.12
Atoms (fractional coordinates):
Fe 0.000 0.000 0.000
Ni 0.350 0.350 0.158
Ni 0.650 0.650 0.842
Cl 0.500 0.500 0.500

Calculated values
The calculated volume is 17.46 Å³/atom.



Model two:
Below is a relaxed FeNi2Cl crystal, with properties calculated at the PBE level.

abc: 4.306 4.306 2.813
angles: 90.00 90.00 90.00
Atoms (fractional coordinates):
Fe 0.000 0.000 0.000
Ni 0.000 0.500 0.500
Ni 0.500 0.000 0.500
Cl 0.500 0.500 0.000

Calculated values
The calculated volume is 13.04 Å³/atom.



Name the least stable of them. model two.



Model one:
Below is a relaxed FeNi2Cl crystal, with properties calculated at the PBE level.

abc: 4.168 4.168 4.168
angles: 60.00 60.00 60.00
Atoms (fractional coordinates):
Fe 0.000 0.000 0.000
Ni 0.500 0.500 0.500
Ni 0.750 0.750 0.750
Cl 0.250 0.250 0.250

Calculated values
The calculated volume is 12.80 Å³/atom.



Model two:
Below is a relaxed FeNi2Cl crystal, with properties calculated at the PBE level.

abc: 2.995 2.995 6.150
angles: 90.00 90.00 90.00
Atoms (fractional coordinates):
Fe 0.000 0.000 0.000
Ni 0.000 0.000 0.403
Ni 0.500 0.500 0.196
Cl 0.500 0.500 0.708

Calculated values
The calculated volume is 13.79 Å³/atom.



Model three:
Below is a relaxed FeNi2Cl crystal, with properties calculated at the PBE level.

abc: 3.047 2.968 6.333
angles: 90.00 90.17 90.00
Atoms (fractional coordinates):
Fe 0.000 0.000 0.000
Ni 0.499 0.500 0.802
Ni 0.501 0.500 0.198
Cl 0.500 0.000 0.500

Calculated values
The calculated volume is 14.31 Å³/atom.



Name the least stable of them. model one.



Model one:
Below is a relaxed FeNiCl2 crystal, with properties calculated at the PBE level.

abc: 3.360 3.638 5.734
angles: 90.00 99.08 90.00
Atoms (fractional coordinates):
Fe 0.000 0.000 0.000
Ni 0.500 0.000 0.500
Cl 0.255 0.500 0.254
Cl 0.745 0.500 0.746

Calculated values
The calculated volume is 17.30 Å³/atom.



Model two:
Below is a relaxed FeNiCl2 crystal, with properties calculated at the PBE level.

abc: 8.106 8.106 8.106
angles: 24.17 24.17 24.17
Atoms (fractional coordinates):
Fe 0.000 0.000 0.000
Ni 0.275 0.275 0.275
Cl 0.553 0.553 0.553
Cl 0.730 0.730 0.730

Calculated values
The calculated volume is 19.63 Å³/atom.



Name the least stable of them. model one.